No. 1
# PBE KAcAgSb, relaxed
# Energy relative to the elements, uncorrected (eV/atom): -0.4566
# Crystal system: cubic
# Volume (Å³/f.u.): 130.4
# Fermi-level density of states (states/eV per cell): 0.3
data_KAcAgSb
_chemical_formula_sum 'K4 Ac4 Ag4 Sb4'
_cell_length_a 8.049
_cell_length_b 8.049
_cell_length_c 8.049
_cell_angle_alpha 90.00
_cell_angle_beta 90.00
_cell_angle_gamma 90.00
_space_group_name_H-M_alt 'F -4 3 m'
_space_group_IT_number 216
_space_group_name_Hall 'F -4 2 3'
loop_
_atom_site_label
_atom_site_type_symbol
_atom_site_fract_x
_atom_site_fract_y
_atom_site_fract_z
K1 K 0.000 0.000 0.000
Ac1 Ac 0.000 0.000 0.500
Ag1 Ag 0.250 0.250 0.250
Sb1 Sb 0.250 0.250 0.750

***

No. 2
# PBE Sr2GeO3, relaxed
# Energy relative to the elements, uncorrected (eV/atom): -2.1648
# Crystal system: monoclinic
# Volume (Å³/f.u.): 99.0
# Fermi-level density of states (states/eV per cell): 0.0
data_Sr2GeO3
_chemical_formula_sum 'Sr8 Ge4 O12'
_cell_length_a 11.232
_cell_length_b 5.169
_cell_length_c 7.192
_cell_angle_alpha 90.00
_cell_angle_beta 108.47
_cell_angle_gamma 90.00
_space_group_name_H-M_alt 'C 1 2/c 1'
_space_group_IT_number 15
_space_group_name_Hall '-C 2yc'
loop_
_atom_site_label
_atom_site_type_symbol
_atom_site_fract_x
_atom_site_fract_y
_atom_site_fract_z
Sr1 Sr 0.165 0.002 0.083
Ge1 Ge 0.000 0.493 0.750
O1 O 0.000 0.140 0.750
O2 O 0.171 0.497 0.586

***

No. 3
# PBE ZnIr2Pb, relaxed
# DFT formation energy (meV/atom): 401.0
# Offset from the most stable computed form (meV per atom): 186
# Crystal system: tetragonal
# Volume (Å³/f.u.): 70.6
# Fermi-level density of states (states/eV per cell): 5.9
data_ZnIr2Pb
_chemical_formula_sum 'Zn1 Ir2 Pb1'
_cell_length_a 3.312
_cell_length_b 3.312
_cell_length_c 6.432
_cell_angle_alpha 90.00
_cell_angle_beta 90.00
_cell_angle_gamma 90.00
_space_group_name_H-M_alt 'P 4 m m'
_space_group_IT_number 99
_space_group_name_Hall 'P 4 -2'
loop_
_atom_site_label
_atom_site_type_symbol
_atom_site_fract_x
_atom_site_fract_y
_atom_site_fract_z
Zn1 Zn 0.000 0.000 0.000
Ir1 Ir 0.000 0.000 0.418
Ir2 Ir 0.500 0.500 0.159
Pb1 Pb 0.500 0.500 0.674

***

No. 4
# PBE Zn2GaAg6, relaxed
# DFT formation energy (meV/atom): 6.6
# Offset from the most stable computed form (meV per atom): 0
# Crystal system: monoclinic
# Volume (Å³/f.u.): 155.0
# Fermi-level density of states (states/eV per cell): 6.6
data_Zn2GaAg6
_chemical_formula_sum 'Zn8 Ga4 Ag24'
_cell_length_a 14.261
_cell_length_b 9.456
_cell_length_c 4.638
_cell_angle_alpha 90.00
_cell_angle_beta 97.59
_cell_angle_gamma 90.00
_space_group_name_H-M_alt 'C 1 2/c 1'
_space_group_IT_number 15
_space_group_name_Hall '-C 2yc'
loop_
_atom_site_label
_atom_site_type_symbol
_atom_site_fract_x
_atom_site_fract_y
_atom_site_fract_z
Zn1 Zn 0.172 0.137 0.083
Ga1 Ga 0.000 0.356 0.250
Ag1 Ag 0.066 0.111 0.533
Ag2 Ag 0.104 0.382 0.803
Ag3 Ag 0.228 0.384 0.366

***

No. 5
# PBE TiVB4, relaxed
# DFT formation energy (meV/atom): -880.4
# Crystal system: tetragonal
# Volume (Å³/f.u.): 49.0
# Fermi-level density of states (states/eV per cell): 4.1
data_TiVB4
_chemical_formula_sum 'Ti2 V2 B8'
_cell_length_a 3.062
_cell_length_b 3.062
_cell_length_c 10.455
_cell_angle_alpha 90.00
_cell_angle_beta 90.00
_cell_angle_gamma 90.00
_space_group_name_H-M_alt 'I -4 m 2'
_space_group_IT_number 119
_space_group_name_Hall 'I -4 -2'
loop_
_atom_site_label
_atom_site_type_symbol
_atom_site_fract_x
_atom_site_fract_y
_atom_site_fract_z
Ti1 Ti 0.000 0.000 0.000
V1 V 0.000 0.500 0.250
B1 B 0.000 0.000 0.416
B2 B 0.000 0.500 0.668

***

No. 6
# PBE TlAg6Cl8, relaxed
# Energy relative to the elements, uncorrected (eV/atom): -0.4906
# Crystal system: trigonal
# Volume (Å³/f.u.): 371.5
# Fermi-level density of states (states/eV per cell): 27.0
data_TlAg6Cl8
_chemical_formula_sum 'Tl3 Ag18 Cl24'
_cell_length_a 11.1339
_cell_length_b 11.1339
_cell_length_c 10.3823
_cell_angle_alpha 90.00
_cell_angle_beta 90.00
_cell_angle_gamma 120.00
_space_group_name_H-M_alt 'R -3'
_space_group_IT_number 148
_space_group_name_Hall '-R 3'
loop_
_atom_site_label
_atom_site_type_symbol
_atom_site_fract_x
_atom_site_fract_y
_atom_site_fract_z
Tl1 Tl 0.0000 0.0000 0.0000
Ag1 Ag 0.0047 0.2315 0.3131
Cl1 Cl 0.0000 0.0000 0.3207
Cl2 Cl 0.0267 0.5757 0.7858

***

No. 7
# PBE BaZn2Sb, relaxed
# Energy relative to the elements, uncorrected (eV/atom): -0.3693
# Crystal system: trigonal
# Volume (Å³/f.u.): 112.7
# Fermi-level density of states (states/eV per cell): 6.1
data_BaZn2Sb
_chemical_formula_sum 'Ba3 Zn6 Sb3'
_cell_length_a 4.5379
_cell_length_b 4.5379
_cell_length_c 18.9476
_cell_angle_alpha 90.00
_cell_angle_beta 90.00
_cell_angle_gamma 120.00
_space_group_name_H-M_alt 'R 3 m'
_space_group_IT_number 160
_space_group_name_Hall 'R 3 -2"'
loop_
_atom_site_label
_atom_site_type_symbol
_atom_site_fract_x
_atom_site_fract_y
_atom_site_fract_z
Ba1 Ba 0.0000 0.0000 0.0000
Zn1 Zn 0.0000 0.0000 0.4733
Zn2 Zn 0.0000 0.0000 0.7787
Sb1 Sb 0.0000 0.0000 0.2040

***

No. 8
# PBE CaZr4Re, relaxed
# DFT formation energy (meV/atom): 665.2
# Crystal system: cubic
# Volume (Å³/f.u.): 136.5
# Fermi-level density of states (states/eV per cell): 44.3
data_CaZr4Re
_chemical_formula_sum 'Ca4 Zr16 Re4'
_cell_length_a 8.174
_cell_length_b 8.174
_cell_length_c 8.174
_cell_angle_alpha 90.00
_cell_angle_beta 90.00
_cell_angle_gamma 90.00
_space_group_name_H-M_alt 'F -4 3 m'
_space_group_IT_number 216
_space_group_name_Hall 'F -4 2 3'
loop_
_atom_site_label
_atom_site_type_symbol
_atom_site_fract_x
_atom_site_fract_y
_atom_site_fract_z
Ca1 Ca 0.000 0.000 0.000
Zr1 Zr 0.123 0.123 0.377
Re1 Re 0.250 0.250 0.750

***

No. 9
# PBE Rb2MnNiCl6, relaxed
# Offset from the most stable computed form (meV per atom): 0
# Energy relative to the elements, uncorrected (eV/atom): -1.3127
# Crystal system: trigonal
# Volume (Å³/f.u.): 254.3
data_Rb2MnNiCl6
_chemical_formula_sum 'Rb12 Mn6 Ni6 Cl36'
_cell_length_a 7.0833
_cell_length_b 7.0833
_cell_length_c 35.1209
_cell_angle_alpha 90.00
_cell_angle_beta 90.00
_cell_angle_gamma 120.00
_space_group_name_H-M_alt 'R -3 m'
_space_group_IT_number 166
_space_group_name_Hall '-R 3 2"'
loop_
_atom_site_label
_atom_site_type_symbol
_atom_site_fract_x
_atom_site_fract_y
_atom_site_fract_z
Rb1 Rb 0.0000 0.0000 0.1245
Rb2 Rb 0.0000 0.0000 0.2923
Mn1 Mn 0.0000 0.0000 0.4120
Ni1 Ni 0.0000 0.0000 0.0000
Ni2 Ni 0.0000 0.0000 0.5000
Cl1 Cl 0.0060 0.5030 0.7070
Cl2 Cl 0.0194 0.5097 0.1251

***

No. 10
# PBE ScGaSeBr2, relaxed
# Offset from the most stable computed form (meV per atom): 0
# Energy relative to the elements, uncorrected (eV/atom): -1.0229
# Crystal system: tetragonal
# Volume (Å³/f.u.): 149.0
data_ScGaSeBr2
_chemical_formula_sum 'Sc1 Ga1 Se1 Br2'
_cell_length_a 5.360
_cell_length_b 5.360
_cell_length_c 5.186
_cell_angle_alpha 90.00
_cell_angle_beta 90.00
_cell_angle_gamma 90.00
_space_group_name_H-M_alt 'P 4/m m m'
_space_group_IT_number 123
_space_group_name_Hall '-P 4 2'
loop_
_atom_site_label
_atom_site_type_symbol
_atom_site_fract_x
_atom_site_fract_y
_atom_site_fract_z
Sc1 Sc 0.000 0.000 0.000
Ga1 Ga 0.500 0.500 0.500
Se1 Se 0.000 0.000 0.500
Br1 Br 0.000 0.500 0.000

***

No. 11
# PBE BaScMo2, relaxed
# DFT formation energy (meV/atom): 656.3
# Offset from the most stable computed form (meV per atom): 271
# Crystal system: monoclinic
# Volume (Å³/f.u.): 109.8
# Fermi-level density of states (states/eV per cell): 9.2
data_BaScMo2
_chemical_formula_sum 'Ba2 Sc2 Mo4'
_cell_length_a 9.945
_cell_length_b 3.295
_cell_length_c 6.718
_cell_angle_alpha 90.00
_cell_angle_beta 93.57
_cell_angle_gamma 90.00
_space_group_name_H-M_alt 'C 1 2/m 1'
_space_group_IT_number 12
_space_group_name_Hall '-C 2y'
loop_
_atom_site_label
_atom_site_type_symbol
_atom_site_fract_x
_atom_site_fract_y
_atom_site_fract_z
Ba1 Ba 0.000 0.000 0.000
Sc1 Sc 0.000 0.500 0.500
Mo1 Mo 0.243 0.000 0.633

***

No. 12
# PBE Sm8HgTe4As3, relaxed
# Energy relative to the elements, uncorrected (eV/atom): -1.3647
# Crystal system: trigonal
# Volume (Å³/f.u.): 467.6
# Fermi-level density of states (states/eV per cell): 21.9
data_Sm8HgTe4As3
_chemical_formula_sum 'Sm24 Hg3 Te12 As9'
_cell_length_a 8.6661
_cell_length_b 8.6661
_cell_length_c 21.5680
_cell_angle_alpha 90.00
_cell_angle_beta 90.00
_cell_angle_gamma 120.00
_space_group_name_H-M_alt 'R -3 m'
_space_group_IT_number 166
_space_group_name_Hall '-R 3 2"'
loop_
_atom_site_label
_atom_site_type_symbol
_atom_site_fract_x
_atom_site_fract_y
_atom_site_fract_z
Sm1 Sm 0.0000 0.0000 0.2396
Sm2 Sm 0.0067 0.5034 0.7568
Hg1 Hg 0.0000 0.0000 0.5000
Te1 Te 0.0000 0.0000 0.0000
Te2 Te 0.0000 0.5000 0.0000
As1 As 0.0000 0.5000 0.5000

***

Q: What is the formula in the sixth record?
A: TlAg6Cl8

***

Q: What is the formula in the first record?
A: KAcAgSb

***

Q: Which formula does entry 3 have?
A: ZnIr2Pb